Entry 1:
## BeTlI2 (PBE)

Data for a relaxed structure of BeTlI2.

Cell and atoms, written as POSCAR:
```
BeTlI2
1.0
7.474 0.000 0.000
0.000 7.474 0.000
3.737 3.737 5.261
I Be Tl
4 2 2
Direct
0.502 0.125 0.250
0.248 0.625 0.250
0.375 0.498 0.750
0.875 0.752 0.750
0.500 0.500 0.000
0.250 0.750 0.500
0.000 0.000 0.000
0.750 0.250 0.500
```

Calculated values
Size of the total moment (μB/atom): 0.000
Fermi-level density of states (states/eV/f.u.): 1.40
Energy relative to the elements, uncorrected (eV/atom): -0.01



Entry 2:
## NaCd3Sn (PBE)

Data for a relaxed structure of NaCd3Sn.

Cell and atoms, written as POSCAR:
```
NaCd3Sn
1.0
-3.671 4.173 3.382
-0.209 -3.930 4.621
11.204 5.591 5.262
Na Cd Sn
4 12 4
Direct
0.000 0.500 0.000
0.500 0.000 0.500
0.500 0.000 0.000
0.000 0.500 0.500
0.998 0.992 0.104
0.502 0.492 0.604
0.502 0.492 0.896
0.002 0.008 0.604
0.002 0.008 0.896
0.498 0.508 0.396
0.498 0.508 0.104
0.998 0.992 0.396
0.683 0.173 0.750
0.817 0.673 0.250
0.317 0.827 0.250
0.183 0.327 0.750
0.323 0.824 0.750
0.177 0.324 0.250
0.677 0.176 0.250
0.823 0.676 0.750
```

Calculated values
Size of the total moment (μB/atom): 0.000
Energy relative to the elements (eV/atom): -0.038
Fermi-level density of states (states/eV/f.u.): 2.20



Entry 3:
## TiTlGa2 (PBE)

Data for a relaxed structure of TiTlGa2.

Cell and atoms, written as POSCAR:
```
TiTlGa2
1.0
7.559 0.000 0.000
0.000 7.559 0.000
3.780 3.780 2.901
Tl Ga Ti
2 4 2
Direct
0.000 0.000 0.000
0.750 0.250 0.500
0.612 0.125 0.250
0.138 0.625 0.250
0.375 0.388 0.750
0.875 0.862 0.750
0.500 0.500 0.000
0.250 0.750 0.500
```

Calculated values
Size of the total moment (μB/atom): 0.000
Energy relative to the elements (eV/atom): 0.222
Fermi-level density of states (states/eV/f.u.): 4.10



Entry 4:
## Be2CdOs (PBE)

Data for a relaxed structure of Be2CdOs.

Cell and atoms, written as POSCAR:
```
Be2CdOs
1.0
8.410 0.033 0.019
7.942 2.766 0.019
7.942 1.359 2.409
Be Os Cd
2 1 1
Direct
0.012 0.012 0.012
0.488 0.488 0.488
0.750 0.750 0.750
0.250 0.250 0.250
```

Calculated values
Size of the total moment (μB/atom): 0.002
Energy relative to the elements (eV/atom): 0.302
Fermi-level density of states (states/eV/f.u.): 2.59



Entry 5:
## La3Zn2Pd7 (PBE)

Data for a relaxed structure of La3Zn2Pd7.

Cell and atoms, written as POSCAR:
```
La3Zn2Pd7
1.0
-3.948 0.043 1.170
-1.158 -1.382 -3.857
1.803 -13.298 6.573
La Zn Pd
3 2 7
Direct
0.500 0.500 0.000
0.500 0.700 0.400
0.500 0.300 0.600
0.000 0.917 0.835
0.000 0.083 0.165
0.000 0.369 0.739
0.000 0.791 0.582
0.000 0.000 0.000
0.000 0.631 0.261
0.500 0.133 0.267
0.500 0.867 0.733
0.000 0.209 0.418
```

Calculated values
Size of the total moment (μB/atom): 0.000
Energy relative to the elements (eV/atom): -0.563
Fermi-level density of states (states/eV/f.u.): 5.27



Entry 6:
## OsPt2Rh8 (PBE)

Data for a relaxed structure of OsPt2Rh8.

Cell and atoms, written as POSCAR:
```
OsPt2Rh8
1.0
4.027 0.226 -0.149
-0.430 6.258 -2.151
0.224 0.360 6.618
Os Pt Rh
1 2 8
Direct
0.500 0.000 0.000
0.000 0.622 0.378
0.000 0.378 0.622
0.000 0.961 0.710
0.000 0.710 0.961
0.500 0.671 0.671
0.500 0.240 0.760
0.500 0.760 0.240
0.500 0.329 0.329
0.000 0.290 0.039
0.000 0.039 0.290
```

Calculated values
Size of the total moment (μB/atom): 0.000
Energy relative to the elements (eV/atom): 0.262
Fermi-level density of states (states/eV/f.u.): 12.50



Entry 7:
## CeMgGa2Cu2 (PBE)

Data for a relaxed structure of CeMgGa2Cu2.

Cell and atoms, written as POSCAR:
```
CeMgGa2Cu2
1.0
4.273 0.000 0.000
-2.136 3.700 0.000
0.000 0.000 6.986
Ce Mg Ga Cu
1 1 2 2
Direct
0.000 0.000 0.000
0.000 0.000 0.500
0.667 0.333 0.724
0.333 0.667 0.276
0.667 0.333 0.308
0.333 0.667 0.692
```

Calculated values
Size of the total moment (μB/atom): 0.123
Energy relative to the elements (eV/atom): -0.340
Fermi-level density of states (states/eV/f.u.): 6.96



Entry 8:
## Ca2Zn3Ni2 (PBE)

Data for a relaxed structure of Ca2Zn3Ni2.

Cell and atoms, written as POSCAR:
```
Ca2Zn3Ni2
1.0
-0.388 4.032 0.120
-2.644 -2.415 4.162
6.970 0.645 0.843
Ca Zn Ni
2 3 2
Direct
0.861 0.722 0.231
0.139 0.278 0.769
0.500 0.000 0.000
0.653 0.306 0.434
0.347 0.694 0.566
0.874 0.749 0.804
0.126 0.251 0.196
```

Calculated values
Size of the total moment (μB/atom): 0.000
Energy relative to the elements (eV/atom): -0.286
Fermi-level density of states (states/eV/f.u.): 3.63